# 1
Crystalline LaCO4 at its relaxed geometry. Source: the Alexandria database, functional PBE.

Cell and atoms, written as POSCAR:
```
LaCO4
1.0
5.837 -0.098 0.000
-2.574 5.240 0.000
-1.631 -2.571 4.981
O C La
8 2 2
direct
0.546 0.885 0.661
0.115 0.454 0.339
0.224 0.885 0.339
0.635 0.474 0.839
0.526 0.365 0.161
0.635 0.796 0.161
0.115 0.776 0.661
0.204 0.365 0.839
0.250 0.750 0.500
0.500 0.500 0.000
0.750 0.250 0.500
0.000 0.000 0.000
```

Results
Offset from the most stable computed form: 109 meV/atom
Formation energy without anion corrections: -1.93 eV per atom
Space-group type: I4_1/amd, No. 141

# 2
Crystalline TcPb2AuCl at its relaxed geometry. Source: the Alexandria database, functional PBE.

Cell and atoms, written as POSCAR:
```
TcPb2AuCl
1.0
-4.937 -2.073 0.661
1.333 -3.995 -2.574
1.616 -2.396 4.556
Pb Au Cl Tc
2 1 1 1
direct
0.000 0.000 0.500
0.500 0.000 0.000
0.000 0.500 0.000
0.500 0.500 0.500
0.000 0.000 0.000
```

Results
Formation energy without anion corrections: 0.29 eV per atom
Space-group type: P4/mmm, No. 123

# 3
Crystalline Nd5SmYTm2 at its relaxed geometry. Source: the Alexandria database, functional PBE.

Cell and atoms, written as POSCAR:
```
Nd5SmYTm2
1.0
5.655 0.000 0.000
-2.827 10.254 0.000
0.000 0.000 10.723
Nd Tm Y Sm
10 4 2 2
direct
0.297 0.594 0.706
0.481 0.963 0.743
0.703 0.406 0.206
0.612 0.224 0.524
0.015 0.030 0.019
0.721 0.441 0.811
0.279 0.559 0.311
0.519 0.037 0.243
0.388 0.776 0.024
0.985 0.970 0.519
0.888 0.777 0.239
0.885 0.770 0.811
0.112 0.223 0.739
0.115 0.230 0.311
0.591 0.182 0.959
0.409 0.818 0.459
0.200 0.400 0.011
0.800 0.600 0.511
```

Results
ΔE_f: 131 kJ/mol of formula units
Space-group type: Cmc2_1, No. 36

# 4
Crystalline HfZr3Co at its relaxed geometry. Source: the Alexandria database, functional PBE.

Cell and atoms, written as POSCAR:
```
HfZr3Co
1.0
5.417 0.000 0.000
0.000 6.773 0.001
0.000 -3.386 5.864
Zr Hf Co
6 2 2
direct
0.250 0.818 0.181
0.250 0.819 0.637
0.250 0.363 0.181
0.750 0.182 0.819
0.750 0.637 0.819
0.750 0.181 0.363
0.250 0.333 0.667
0.750 0.667 0.333
0.500 0.000 0.000
0.000 0.000 0.000
```

Results
Offset from the most stable computed form: 174 meV/atom
ΔE_f: 60 kJ/mol of formula units
Space-group type: P6_3/mmc, No. 194

no.,energy (eV per atom)
1,-7.593
2,-4.289
3,-4.734
4,-8.416